[1]
DFT (PBE) results for GaHg3Te after structural relaxation.

Output
Energy above the most stable polymorph in this dataset (meV per atom): 223
Spin magnetization (Bohr magnetons per cell): 0.00
SG: Pm-3m (221)
ΔE_f (raw) (meV per atom): 414
D(E_F) (states/eV/cell): 2.20
Uncorrected energy (eV per atom): -1.0003

a b c (Å): 5.8206 5.8206 5.8206
angles (deg): 90.00 90.00 90.00
Last column: nearest neighbours and their distance in Å.
Fractional coordinates of all 5 atoms:
Ga 0.0000 0.0000 0.0000  12 Hg 4.12
Hg 0.0000 0.5000 0.5000  2 Te 2.91
Hg 0.5000 0.0000 0.5000  2 Te 2.91
Hg 0.5000 0.5000 0.0000  2 Te 2.91
Te 0.5000 0.5000 0.5000  6 Hg 2.91


[2]
DFT (PBE) results for ZnNi10P3 after structural relaxation.

Output
Energy above the most stable polymorph in this dataset (meV per atom): 0
Spin magnetization (Bohr magnetons per cell): 0.00
SG: P-3m1 (164)
D(E_F) (states/eV/cell): 23.14
Energy relative to the elements (eV per atom): -0.42
Uncorrected energy (eV per atom): -5.8037

a b c (Å): 7.6665 7.6665 9.3536
angles (deg): 90.00 90.00 120.00
Last column: nearest neighbours and their distance in Å.
Fractional coordinates of all 42 atoms:
Zn 0.0000 0.0000 0.0000  12 Ni 2.50-2.68
Zn 0.3333 0.6667 0.6401  5 Ni 2.38-2.59
Zn 0.6667 0.3333 0.3599  5 Ni 2.38-2.59
Ni 0.0000 0.0000 0.3787  4 Ni 2.27-2.47, 3 P 2.29
Ni 0.0000 0.0000 0.6213  4 Ni 2.27-2.47, 3 P 2.29
Ni 0.0000 0.3403 0.5000  2 P 2.21, 1 Ni 2.45
Ni 0.0000 0.6597 0.5000  2 P 2.21, 1 Ni 2.45
Ni 0.0181 0.5090 0.2402  3 P 2.25-2.26, 3 Ni 2.48-2.50
Ni 0.1401 0.2803 0.7943  2 P 2.26, 3 Ni 2.47-2.48
Ni 0.1401 0.8599 0.7943  2 P 2.26, 3 Ni 2.47-2.48
Ni 0.1824 0.3648 0.0662  3 P 2.21-2.28
Ni 0.1824 0.8176 0.0662  3 P 2.21-2.28
Ni 0.2803 0.1401 0.2057  2 P 2.26, 3 Ni 2.47-2.48
Ni 0.3333 0.6667 0.3858  3 P 2.35, 1 Zn 2.38, 3 Ni 2.50
Ni 0.3333 0.6667 0.9030  3 P 2.39, 1 Zn 2.46, 3 Ni 2.52
Ni 0.3403 0.0000 0.5000  2 P 2.21, 1 Ni 2.45
Ni 0.3403 0.3403 0.5000  2 P 2.21, 1 Ni 2.45
Ni 0.3648 0.1824 0.9338  3 P 2.21-2.28
Ni 0.4910 0.5090 0.2402  3 P 2.25-2.26, 3 Ni 2.48-2.50
Ni 0.4910 0.9819 0.2402  3 P 2.25-2.26, 3 Ni 2.48-2.50
Ni 0.5090 0.0181 0.7598  3 P 2.25-2.26, 3 Ni 2.48-2.50
Ni 0.5090 0.4910 0.7598  3 P 2.25-2.26, 3 Ni 2.48-2.50
Ni 0.6352 0.8176 0.0662  3 P 2.21-2.28
Ni 0.6597 0.0000 0.5000  2 P 2.21, 1 Ni 2.45
Ni 0.6597 0.6597 0.5000  2 P 2.21, 1 Ni 2.45
Ni 0.6667 0.3333 0.0970  3 P 2.39, 1 Zn 2.46, 3 Ni 2.52
Ni 0.6667 0.3333 0.6142  3 P 2.35, 1 Zn 2.38, 3 Ni 2.50
Ni 0.7197 0.8599 0.7943  2 P 2.26, 3 Ni 2.47-2.48
Ni 0.8176 0.1824 0.9338  3 P 2.21-2.28
Ni 0.8176 0.6352 0.9338  3 P 2.21-2.28
Ni 0.8599 0.1401 0.2057  2 P 2.26, 3 Ni 2.47-2.48
Ni 0.8599 0.7197 0.2057  2 P 2.26, 3 Ni 2.47-2.48
Ni 0.9819 0.4910 0.7598  3 P 2.25-2.26, 3 Ni 2.48-2.50
P 0.0000 0.5000 0.0000  8 Ni 2.21-2.39
P 0.1651 0.3303 0.3089  9 Ni 2.21-2.35
P 0.1651 0.8349 0.3089  9 Ni 2.21-2.35
P 0.3303 0.1651 0.6911  9 Ni 2.21-2.35
P 0.5000 0.0000 0.0000  8 Ni 2.21-2.39
P 0.5000 0.5000 0.0000  8 Ni 2.21-2.39
P 0.6697 0.8349 0.3089  9 Ni 2.21-2.35
P 0.8349 0.1651 0.6911  9 Ni 2.21-2.35
P 0.8349 0.6697 0.6911  9 Ni 2.21-2.35